[1]
# Y2Si2Ru | Alexandria | meta-GGA SCAN | single point on PBEsol structure
# E_tot, eV per cell: -229.35
# Crystal system: tetragonal
data_Y2Si2Ru
_cell_length_a 6.5918
_cell_length_b 6.5918
_cell_length_c 4.2685
_cell_angle_alpha 90.00
_cell_angle_beta 90.00
_cell_angle_gamma 90.00
_symmetry_space_group_name_H-M 'P 1'
_symmetry_Int_Tables_number 1
loop_
_symmetry_equiv_pos_as_xyz
'x,y,z'
loop_
_atom_site_label
_atom_site_type_symbol
_atom_site_fract_x
_atom_site_fract_y
_atom_site_fract_z
Y1 Y 0.1759 0.3241 0.0000
Y2 Y 0.3241 0.8241 0.0000
Y3 Y 0.6759 0.1759 0.0000
Y4 Y 0.8241 0.6759 0.0000
Si1 Si 0.1310 0.6310 0.5000
Si2 Si 0.3690 0.1310 0.5000
Si3 Si 0.6310 0.8690 0.5000
Si4 Si 0.8690 0.3690 0.5000
Ru1 Ru 0.0000 0.0000 0.5000
Ru2 Ru 0.5000 0.5000 0.5000

***

[2]
# Y2SiRu | Alexandria | meta-GGA SCAN | single point on PBEsol structure
# E_tot, eV per cell: -103.31
# Crystal system: orthorhombic
data_Y2SiRu
_cell_length_a 3.8009
_cell_length_b 5.7082
_cell_length_c 5.7082
_cell_angle_alpha 43.01
_cell_angle_beta 90.00
_cell_angle_gamma 90.00
_symmetry_space_group_name_H-M 'P 1'
_symmetry_Int_Tables_number 1
loop_
_symmetry_equiv_pos_as_xyz
'x,y,z'
loop_
_atom_site_label
_atom_site_type_symbol
_atom_site_fract_x
_atom_site_fract_y
_atom_site_fract_z
Y1 Y 0.0000 0.0000 0.0000
Y2 Y 0.5000 0.2807 0.2807
Si1 Si 0.5000 0.5808 0.5808
Ru1 Ru 0.0000 0.7222 0.7222

***

[3]
# YSi2Ru | Alexandria | meta-GGA SCAN | single point on PBEsol structure
# E_tot, eV per cell: -84.79
# Crystal system: orthorhombic
data_YSi2Ru
_cell_length_a 3.3294
_cell_length_b 4.2306
_cell_length_c 4.9468
_cell_angle_alpha 90.00
_cell_angle_beta 90.00
_cell_angle_gamma 90.00
_symmetry_space_group_name_H-M 'P 1'
_symmetry_Int_Tables_number 1
loop_
_symmetry_equiv_pos_as_xyz
'x,y,z'
loop_
_atom_site_label
_atom_site_type_symbol
_atom_site_fract_x
_atom_site_fract_y
_atom_site_fract_z
Y1 Y 0.0000 0.0000 0.0000
Si1 Si 0.5000 0.5000 0.2535
Si2 Si 0.5000 0.5000 0.7465
Ru1 Ru 0.5000 0.0000 0.5000

***

[4]
# ZnSi2Ru | Alexandria | meta-GGA SCAN | single point on PBEsol structure
# E_tot, eV per cell: -67.99
# Crystal system: tetragonal
data_ZnSi2Ru
_cell_length_a 3.8070
_cell_length_b 3.8070
_cell_length_c 3.5845
_cell_angle_alpha 90.00
_cell_angle_beta 90.00
_cell_angle_gamma 90.00
_symmetry_space_group_name_H-M 'P 1'
_symmetry_Int_Tables_number 1
loop_
_symmetry_equiv_pos_as_xyz
'x,y,z'
loop_
_atom_site_label
_atom_site_type_symbol
_atom_site_fract_x
_atom_site_fract_y
_atom_site_fract_z
Zn1 Zn 0.0000 0.0000 0.0000
Si1 Si 0.0000 0.5000 0.5000
Si2 Si 0.5000 0.0000 0.5000
Ru1 Ru 0.5000 0.5000 0.0000

***

[5]
# Zn2SiRu | Alexandria | meta-GGA SCAN | single point on PBEsol structure
# E_tot, eV per cell: -70.58
# Crystal system: orthorhombic
data_Zn2SiRu
_cell_length_a 2.6876
_cell_length_b 2.6876
_cell_length_c 8.8909
_cell_angle_alpha 90.00
_cell_angle_beta 90.00
_cell_angle_gamma 118.47
_symmetry_space_group_name_H-M 'P 1'
_symmetry_Int_Tables_number 1
loop_
_symmetry_equiv_pos_as_xyz
'x,y,z'
loop_
_atom_site_label
_atom_site_type_symbol
_atom_site_fract_x
_atom_site_fract_y
_atom_site_fract_z
Zn1 Zn 0.0000 0.0000 0.2407
Zn2 Zn 0.0000 0.0000 0.7593
Si1 Si 0.5000 0.5000 0.5000
Ru1 Ru 0.5000 0.5000 0.0000

***

[6]
# ZnSi2Ru2 | Alexandria | meta-GGA SCAN | single point on PBEsol structure
# E_tot, eV per cell: -211.16
# Crystal system: tetragonal
data_ZnSi2Ru2
_cell_length_a 6.8391
_cell_length_b 6.8391
_cell_length_c 2.8654
_cell_angle_alpha 90.00
_cell_angle_beta 90.00
_cell_angle_gamma 90.00
_symmetry_space_group_name_H-M 'P 1'
_symmetry_Int_Tables_number 1
loop_
_symmetry_equiv_pos_as_xyz
'x,y,z'
loop_
_atom_site_label
_atom_site_type_symbol
_atom_site_fract_x
_atom_site_fract_y
_atom_site_fract_z
Zn1 Zn 0.0000 0.0000 0.0000
Zn2 Zn 0.5000 0.5000 0.0000
Si1 Si 0.1449 0.3551 0.5000
Si2 Si 0.3551 0.8551 0.5000
Si3 Si 0.6449 0.1449 0.5000
Si4 Si 0.8551 0.6449 0.5000
Ru1 Ru 0.1508 0.6508 0.0000
Ru2 Ru 0.3492 0.1508 0.0000
Ru3 Ru 0.6508 0.8492 0.0000
Ru4 Ru 0.8492 0.3492 0.0000

***

[7]
# Zn2SiRu | Alexandria | meta-GGA SCAN | single point on PBEsol structure
# E_tot, eV per cell: -70.79
# Crystal system: tetragonal
data_Zn2SiRu
_cell_length_a 2.6681
_cell_length_b 2.6681
_cell_length_c 7.9598
_cell_angle_alpha 90.00
_cell_angle_beta 90.00
_cell_angle_gamma 90.00
_symmetry_space_group_name_H-M 'P 1'
_symmetry_Int_Tables_number 1
loop_
_symmetry_equiv_pos_as_xyz
'x,y,z'
loop_
_atom_site_label
_atom_site_type_symbol
_atom_site_fract_x
_atom_site_fract_y
_atom_site_fract_z
Zn1 Zn 0.0000 0.0000 0.2327
Zn2 Zn 0.0000 0.0000 0.7673
Si1 Si 0.5000 0.5000 0.5000
Ru1 Ru 0.5000 0.5000 0.0000

***

[8]
# ZnSiRu2 | Alexandria | meta-GGA SCAN | single point on PBEsol structure
# E_tot, eV per cell: -93.00
# Crystal system: tetragonal
data_ZnSiRu2
_cell_length_a 2.7132
_cell_length_b 2.7132
_cell_length_c 7.4924
_cell_angle_alpha 90.00
_cell_angle_beta 90.00
_cell_angle_gamma 90.00
_symmetry_space_group_name_H-M 'P 1'
_symmetry_Int_Tables_number 1
loop_
_symmetry_equiv_pos_as_xyz
'x,y,z'
loop_
_atom_site_label
_atom_site_type_symbol
_atom_site_fract_x
_atom_site_fract_y
_atom_site_fract_z
Zn1 Zn 0.0000 0.0000 0.0000
Si1 Si 0.5000 0.5000 0.7058
Ru1 Ru 0.0000 0.0000 0.4830
Ru2 Ru 0.5000 0.5000 0.2503

***

[9]
# ZnSi2Ru | Alexandria | meta-GGA SCAN | single point on PBEsol structure
# E_tot, eV per cell: -68.73
# Crystal system: monoclinic
data_ZnSi2Ru
_cell_length_a 4.6007
_cell_length_b 4.6007
_cell_length_c 4.2325
_cell_angle_alpha 95.01
_cell_angle_beta 95.01
_cell_angle_gamma 36.44
_symmetry_space_group_name_H-M 'P 1'
_symmetry_Int_Tables_number 1
loop_
_symmetry_equiv_pos_as_xyz
'x,y,z'
loop_
_atom_site_label
_atom_site_type_symbol
_atom_site_fract_x
_atom_site_fract_y
_atom_site_fract_z
Zn1 Zn 0.0000 0.0000 0.0000
Si1 Si 0.2435 0.2435 0.7773
Si2 Si 0.4777 0.4777 0.4859
Ru1 Ru 0.7492 0.7492 0.2926

***

[10]
# ZnSi2Ru | Alexandria | meta-GGA SCAN | single point on PBEsol structure
# E_tot, eV per cell: -67.75
# Crystal system: orthorhombic
data_ZnSi2Ru
_cell_length_a 2.9472
_cell_length_b 4.0762
_cell_length_c 4.4369
_cell_angle_alpha 90.00
_cell_angle_beta 90.00
_cell_angle_gamma 90.00
_symmetry_space_group_name_H-M 'P 1'
_symmetry_Int_Tables_number 1
loop_
_symmetry_equiv_pos_as_xyz
'x,y,z'
loop_
_atom_site_label
_atom_site_type_symbol
_atom_site_fract_x
_atom_site_fract_y
_atom_site_fract_z
Zn1 Zn 0.0000 0.0000 0.0000
Si1 Si 0.0000 0.5000 0.5000
Si2 Si 0.5000 0.5000 0.0000
Ru1 Ru 0.5000 0.0000 0.5000

***

[11]
# Zn2SiRu | Alexandria | meta-GGA SCAN | single point on PBEsol structure
# E_tot, eV per cell: -71.38
# Crystal system: orthorhombic
data_Zn2SiRu
_cell_length_a 2.7421
_cell_length_b 2.7421
_cell_length_c 8.3090
_cell_angle_alpha 90.00
_cell_angle_beta 90.00
_cell_angle_gamma 115.78
_symmetry_space_group_name_H-M 'P 1'
_symmetry_Int_Tables_number 1
loop_
_symmetry_equiv_pos_as_xyz
'x,y,z'
loop_
_atom_site_label
_atom_site_type_symbol
_atom_site_fract_x
_atom_site_fract_y
_atom_site_fract_z
Zn1 Zn 0.0000 0.0000 0.0000
Zn2 Zn 0.5000 0.5000 0.2633
Si1 Si 0.5000 0.5000 0.7389
Ru1 Ru 0.0000 0.0000 0.5204

***

[12]
# ZnSiRu2 | Alexandria | meta-GGA SCAN | single point on PBEsol structure
# E_tot, eV per cell: -94.58
# Crystal system: tetragonal
data_ZnSiRu2
_cell_length_a 4.1674
_cell_length_b 4.1674
_cell_length_c 2.9068
_cell_angle_alpha 90.00
_cell_angle_beta 90.00
_cell_angle_gamma 90.00
_symmetry_space_group_name_H-M 'P 1'
_symmetry_Int_Tables_number 1
loop_
_symmetry_equiv_pos_as_xyz
'x,y,z'
loop_
_atom_site_label
_atom_site_type_symbol
_atom_site_fract_x
_atom_site_fract_y
_atom_site_fract_z
Zn1 Zn 0.0000 0.0000 0.0000
Si1 Si 0.5000 0.5000 0.0000
Ru1 Ru 0.0000 0.5000 0.5000
Ru2 Ru 0.5000 0.0000 0.5000

***

[13]
# ZnSi2Ru | Alexandria | meta-GGA SCAN | single point on PBEsol structure
# E_tot, eV per cell: -68.51
# Crystal system: orthorhombic
data_ZnSi2Ru
_cell_length_a 2.9274
_cell_length_b 3.4560
_cell_length_c 5.1972
_cell_angle_alpha 90.00
_cell_angle_beta 90.00
_cell_angle_gamma 90.00
_symmetry_space_group_name_H-M 'P 1'
_symmetry_Int_Tables_number 1
loop_
_symmetry_equiv_pos_as_xyz
'x,y,z'
loop_
_atom_site_label
_atom_site_type_symbol
_atom_site_fract_x
_atom_site_fract_y
_atom_site_fract_z
Zn1 Zn 0.0000 0.0000 0.0000
Si1 Si 0.5000 0.5000 0.2549
Si2 Si 0.5000 0.5000 0.7451
Ru1 Ru 0.0000 0.0000 0.5000